Entry 1:
Material: YBe3Pd
Method: DFT, PBE
State: optimized geometry

The energy above the most stable polymorph in this dataset comes out at 10.59 eV/f.u.

a = 4.7761 Å, b = 4.7761 Å, c = 4.7761 Å
α = 90.00°, β = 90.00°, γ = 90.00°
Atoms (fractional coordinates):
Y 0.0000 0.0000 0.0000
Be 0.0000 0.0000 0.5000
Be 0.0000 0.5000 0.0000
Be 0.5000 0.0000 0.0000
Pd 0.5000 0.5000 0.5000

***

Entry 2:
Material: YBeZn2Pd4
Method: DFT, PBE
State: optimized geometry

a = 8.0312 Å, b = 8.0312 Å, c = 8.0312 Å
α = 31.62°, β = 31.62°, γ = 31.62°
Atoms (fractional coordinates):
Y 0.0000 0.0000 0.0000
Be 0.5000 0.5000 0.5000
Zn 0.2468 0.2468 0.2468
Zn 0.7532 0.7532 0.7532
Pd 0.1325 0.1325 0.1325
Pd 0.4006 0.4006 0.4006
Pd 0.5994 0.5994 0.5994
Pd 0.8675 0.8675 0.8675

***

Entry 3:
Material: Y2BeZnPd6
Method: DFT, PBE
State: optimized geometry

a = 5.7333 Å, b = 5.7374 Å, c = 7.0731 Å
α = 67.02°, β = 66.92°, γ = 60.81°
Atoms (fractional coordinates):
Y 0.2316 0.2318 0.2051
Y 0.7684 0.7682 0.7949
Be 0.5000 0.5000 0.5000
Zn 0.0000 0.0000 0.0000
Pd 0.1656 0.6855 0.3437
Pd 0.2806 0.2809 0.7639
Pd 0.3146 0.8353 0.6554
Pd 0.6854 0.1647 0.3446
Pd 0.7194 0.7191 0.2361
Pd 0.8344 0.3145 0.6563

***

Entry 4:
Material: YBe2ZnPd5
Method: DFT, PBE
State: optimized geometry

a = 4.3972 Å, b = 4.3972 Å, c = 7.0301 Å
α = 90.00°, β = 90.00°, γ = 90.00°
Atoms (fractional coordinates):
Y 0.0000 0.0000 0.0000
Be 0.5000 0.5000 0.3391
Be 0.5000 0.5000 0.6609
Zn 0.0000 0.0000 0.5000
Pd 0.0000 0.5000 0.2861
Pd 0.0000 0.5000 0.7139
Pd 0.5000 0.0000 0.2861
Pd 0.5000 0.0000 0.7139
Pd 0.5000 0.5000 0.0000

***

Entry 5:
Material: Y2Be2ZnPd5
Method: DFT, PBE
State: optimized geometry

a = 9.5891 Å, b = 9.5891 Å, c = 3.4651 Å
α = 90.00°, β = 90.00°, γ = 90.00°
Atoms (fractional coordinates):
Y 0.1780 0.3220 0.0000
Y 0.3220 0.8220 0.0000
Y 0.6780 0.1780 0.0000
Y 0.8220 0.6780 0.0000
Be 0.1184 0.6184 0.0000
Be 0.3816 0.1184 0.0000
Be 0.6184 0.8816 0.0000
Be 0.8816 0.3816 0.0000
Zn 0.0000 0.0000 0.0000
Zn 0.5000 0.5000 0.0000
Pd 0.0000 0.5000 0.5000
Pd 0.0673 0.7871 0.5000
Pd 0.2129 0.0673 0.5000
Pd 0.2871 0.5673 0.5000
Pd 0.4327 0.2871 0.5000
Pd 0.5000 0.0000 0.5000
Pd 0.5673 0.7129 0.5000
Pd 0.7129 0.4327 0.5000
Pd 0.7871 0.9327 0.5000
Pd 0.9327 0.2129 0.5000

***

Entry 6:
Material: BeZnPd5
Method: DFT, PBE
State: optimized geometry

a = 5.3362 Å, b = 5.3362 Å, c = 8.9639 Å
α = 107.63°, β = 107.63°, γ = 67.66°
Atoms (fractional coordinates):
Be 0.0000 0.5000 0.0000
Be 0.5000 0.0000 0.5000
Zn 0.0784 0.9216 0.7500
Zn 0.9216 0.0784 0.2500
Pd 0.1379 0.4105 0.7641
Pd 0.2423 0.5361 0.5125
Pd 0.3379 0.6621 0.2500
Pd 0.4105 0.1379 0.2641
Pd 0.4639 0.7577 0.9875
Pd 0.5361 0.2423 0.0125
Pd 0.5895 0.8621 0.7359
Pd 0.6621 0.3379 0.7500
Pd 0.7577 0.4639 0.4875
Pd 0.8621 0.5895 0.2359

***

Entry 7:
Material: Be2ZnPd2
Method: DFT, PBE
State: optimized geometry

The energy above the most stable polymorph in this dataset comes out at 0.81 eV/f.u.

a = 6.9373 Å, b = 6.9373 Å, c = 6.9373 Å
α = 154.13°, β = 154.13°, γ = 36.91°
Atoms (fractional coordinates):
Be 0.2500 0.7500 0.5000
Be 0.7500 0.2500 0.5000
Zn 0.0000 0.0000 0.0000
Pd 0.3851 0.3851 0.0000
Pd 0.6149 0.6149 0.0000

***

Entry 8:
Material: BeZnPd
Method: DFT, PBE
State: optimized geometry

The energy above the most stable polymorph in this dataset comes out at 0.30 eV/f.u.

a = 3.9883 Å, b = 3.9883 Å, c = 2.7388 Å
α = 90.00°, β = 90.00°, γ = 120.00°
Atoms (fractional coordinates):
Be 0.0000 0.0000 0.0000
Zn 0.6667 0.3333 0.1729
Pd 0.3333 0.6667 0.6435

***

Q: Which M_tot values were calculated for the entries above? A: 0.81, 0.00, 0.00, 0.00, 0.00, 0.00, 0.00, 0.00, in μB per cell.
Q: Which energy of formation values were calculated for the entries above? A: 2.020, -0.610, -0.636, -0.549, -0.725, -0.128, -0.311, -0.285, in eV per atom.